<i>
Material: Sm7DyTm3
Method: DFT, PBE
State: relaxed

Summary:
DOS(E_F) = 1.369 states/eV/atom
M_tot = 0.1 μB/f.u.

a b c (Å): 8.476 8.476 5.833
angles (deg): 110.08 110.08 83.25
Positions (direct):
Sm  0.000  0.000  0.000
Sm  0.097  0.517  0.307
Sm  0.292  0.292  0.793
Sm  0.483  0.903  0.693
Sm  0.517  0.097  0.307
Sm  0.708  0.708  0.207
Sm  0.903  0.483  0.693
Dy  0.000  0.000  0.500
Tm  0.296  0.704  0.000
Tm  0.500  0.500  0.500
Tm  0.704  0.296  0.000

***

<ii>
Material: Sm7DyTm3
Method: DFT, PBE
State: relaxed

Summary:
DOS(E_F) = 1.583 states/eV/atom
M_tot = 0.0 μB/f.u.

a b c (Å): 10.150 10.150 12.444
angles (deg): 114.23 114.23 41.26
Positions (direct):
Sm  0.080  0.584  0.972
Sm  0.081  0.583  0.470
Sm  0.227  0.773  0.750
Sm  0.334  0.344  0.225
Sm  0.344  0.334  0.725
Sm  0.416  0.920  0.528
Sm  0.417  0.919  0.030
Sm  0.583  0.081  0.970
Sm  0.584  0.080  0.472
Sm  0.656  0.666  0.275
Sm  0.666  0.656  0.775
Sm  0.773  0.227  0.250
Sm  0.919  0.417  0.530
Sm  0.920  0.416  0.028
Dy  0.000  0.000  0.000
Dy  0.000  0.000  0.500
Tm  0.168  0.171  0.276
Tm  0.171  0.168  0.776
Tm  0.500  0.500  0.000
Tm  0.500  0.500  0.500
Tm  0.829  0.832  0.224
Tm  0.832  0.829  0.724

***

Which structure is the least stable? The one labeled <i>.

***

<i>
Material: SmDy3Tm4
Method: DFT, PBE
State: relaxed

Summary:
DOS(E_F) = 1.658 states/eV/atom
M_tot = 0.0 μB/f.u.

a b c (Å): 11.171 7.216 6.236
angles (deg): 90.00 90.00 90.00
Positions (direct):
Sm  0.000  0.126  0.000
Sm  0.500  0.874  0.500
Dy  0.000  0.873  0.500
Dy  0.250  0.127  0.334
Dy  0.250  0.873  0.834
Dy  0.500  0.127  0.000
Dy  0.750  0.127  0.334
Dy  0.750  0.873  0.834
Tm  0.000  0.377  0.501
Tm  0.000  0.623  0.000
Tm  0.249  0.623  0.333
Tm  0.251  0.377  0.833
Tm  0.500  0.377  0.500
Tm  0.500  0.623  0.001
Tm  0.749  0.377  0.833
Tm  0.751  0.623  0.333

***

<ii>
Material: SmDy3Tm4
Method: DFT, PBE
State: relaxed

Summary:
DOS(E_F) = 1.556 states/eV/atom
M_tot = 0.0 μB/f.u.

a b c (Å): 13.327 13.327 3.518
angles (deg): 90.00 90.00 155.82
Positions (direct):
Sm  0.000  0.000  0.000
Dy  0.343  0.657  0.000
Dy  0.500  0.500  0.500
Dy  0.657  0.343  0.000
Tm  0.105  0.895  0.500
Tm  0.223  0.777  0.500
Tm  0.777  0.223  0.500
Tm  0.895  0.105  0.500

***

Which structure is the least stable? The one labeled <ii>.

***

<i>
Material: Sm3Dy3Tm
Method: DFT, PBE
State: relaxed

Summary:
DOS(E_F) = 1.819 states/eV/atom
M_tot = 0.0 μB/f.u.

a b c (Å): 9.586 9.586 5.717
angles (deg): 90.00 90.00 120.00
Positions (direct):
Sm  0.048  0.241  0.250
Sm  0.193  0.952  0.250
Sm  0.241  0.193  0.750
Sm  0.759  0.807  0.250
Sm  0.807  0.048  0.750
Sm  0.952  0.759  0.750
Dy  0.095  0.477  0.750
Dy  0.382  0.905  0.750
Dy  0.477  0.382  0.250
Dy  0.523  0.618  0.750
Dy  0.618  0.095  0.250
Dy  0.905  0.523  0.250
Tm  0.333  0.667  0.250
Tm  0.667  0.333  0.750

***

<ii>
Material: Sm3Dy3Tm
Method: DFT, PBE
State: relaxed

Summary:
DOS(E_F) = 1.481 states/eV/atom
M_tot = 0.0 μB/f.u.

a b c (Å): 14.705 14.705 14.705
angles (deg): 24.34 24.34 24.34
Positions (direct):
Sm  0.132  0.463  0.800
Sm  0.200  0.868  0.537
Sm  0.463  0.800  0.132
Sm  0.537  0.200  0.868
Sm  0.800  0.132  0.463
Sm  0.868  0.537  0.200
Dy  0.065  0.731  0.398
Dy  0.269  0.602  0.935
Dy  0.398  0.065  0.731
Dy  0.602  0.935  0.269
Dy  0.731  0.398  0.065
Dy  0.935  0.269  0.602
Tm  0.333  0.333  0.333
Tm  0.667  0.667  0.667

***

Which structure is the least stable? The one labeled <ii>.

***

<i>
Material: SmDy6Tm4
Method: DFT, PBE
State: relaxed

Summary:
DOS(E_F) = 1.382 states/eV/atom
M_tot = 0.0 μB/f.u.

a b c (Å): 9.669 9.669 9.669
angles (deg): 140.61 140.61 56.93
Positions (direct):
Sm  0.000  0.000  0.000
Dy  0.000  0.500  0.500
Dy  0.014  0.640  0.000
Dy  0.360  0.360  0.374
Dy  0.500  0.000  0.500
Dy  0.640  0.014  0.000
Dy  0.986  0.986  0.626
Tm  0.188  0.188  0.640
Tm  0.452  0.812  0.000
Tm  0.548  0.548  0.360
Tm  0.812  0.452  0.000

***

<ii>
Material: SmDy6Tm4
Method: DFT, PBE
State: relaxed

Summary:
DOS(E_F) = 1.747 states/eV/atom
M_tot = 0.0 μB/f.u.

a b c (Å): 5.572 5.572 25.550
angles (deg): 90.00 90.00 119.21
Positions (direct):
Sm  0.181  0.819  0.750
Sm  0.819  0.181  0.250
Dy  0.150  0.850  0.181
Dy  0.150  0.850  0.319
Dy  0.182  0.818  0.602
Dy  0.182  0.818  0.898
Dy  0.485  0.515  0.250
Dy  0.500  0.500  0.000
Dy  0.500  0.500  0.500
Dy  0.515  0.485  0.750
Dy  0.818  0.182  0.102
Dy  0.818  0.182  0.398
Dy  0.850  0.150  0.681
Dy  0.850  0.150  0.819
Tm  0.160  0.840  0.042
Tm  0.160  0.840  0.458
Tm  0.481  0.519  0.122
Tm  0.481  0.519  0.378
Tm  0.519  0.481  0.622
Tm  0.519  0.481  0.878
Tm  0.840  0.160  0.542
Tm  0.840  0.160  0.958

***

Which structure is the least stable? The one labeled <i>.

***

<i>
Material: Sm2Dy7Tm2
Method: DFT, PBE
State: relaxed

Summary:
DOS(E_F) = 1.582 states/eV/atom
M_tot = 0.0 μB/f.u.

a b c (Å): 8.005 8.005 6.024
angles (deg): 106.16 106.16 90.77
Positions (direct):
Sm  0.229  0.229  0.091
Sm  0.771  0.771  0.909
Dy  0.000  0.000  0.500
Dy  0.060  0.589  0.324
Dy  0.411  0.940  0.676
Dy  0.414  0.414  0.699
Dy  0.586  0.586  0.301
Dy  0.589  0.060  0.324
Dy  0.940  0.411  0.676
Tm  0.218  0.782  0.000
Tm  0.782  0.218  0.000

***

<ii>
Material: Sm2Dy7Tm2
Method: DFT, PBE
State: relaxed

Summary:
DOS(E_F) = 1.529 states/eV/atom
M_tot = 0.0 μB/f.u.

a b c (Å): 9.314 9.314 9.314
angles (deg): 145.50 63.42 128.56
Positions (direct):
Sm  0.202  0.000  0.202
Sm  0.798  0.000  0.798
Dy  0.071  0.707  0.364
Dy  0.205  0.205  0.000
Dy  0.338  0.499  0.840
Dy  0.344  0.707  0.636
Dy  0.657  0.292  0.365
Dy  0.659  0.499  0.160
Dy  0.927  0.292  0.635
Tm  0.499  0.999  0.500
Tm  0.787  0.787  0.000

***

Which structure is the least stable? The one labeled <i>.

***

<i>
Material: Sm5Dy3Tm2
Method: DFT, PBE
State: relaxed

Summary:
DOS(E_F) = 1.770 states/eV/atom
M_tot = 0.0 μB/f.u.

a b c (Å): 9.323 9.323 9.717
angles (deg): 108.24 108.24 110.15
Positions (direct):
Sm  0.025  0.975  0.750
Sm  0.150  0.382  0.778
Sm  0.232  0.768  0.750
Sm  0.272  0.728  0.250
Sm  0.382  0.150  0.278
Sm  0.618  0.850  0.722
Sm  0.728  0.272  0.750
Sm  0.768  0.232  0.250
Sm  0.850  0.618  0.222
Sm  0.975  0.025  0.250
Dy  0.020  0.268  0.051
Dy  0.268  0.020  0.551
Dy  0.470  0.530  0.250
Dy  0.530  0.470  0.750
Dy  0.732  0.980  0.449
Dy  0.980  0.732  0.949
Tm  0.223  0.462  0.450
Tm  0.462  0.223  0.950
Tm  0.538  0.777  0.050
Tm  0.777  0.538  0.550

***

<ii>
Material: Sm5Dy3Tm2
Method: DFT, PBE
State: relaxed

Summary:
DOS(E_F) = 1.566 states/eV/atom
M_tot = 0.0 μB/f.u.

a b c (Å): 9.893 9.893 9.893
angles (deg): 123.52 93.29 112.98
Positions (direct):
Sm  0.002  0.750  0.252
Sm  0.128  0.104  0.232
Sm  0.250  0.250  0.000
Sm  0.372  0.604  0.976
Sm  0.498  0.750  0.748
Sm  0.502  0.250  0.252
Sm  0.628  0.396  0.024
Sm  0.750  0.750  0.000
Sm  0.872  0.896  0.768
Sm  0.998  0.250  0.748
Dy  0.124  0.753  0.876
Dy  0.250  0.750  0.500
Dy  0.376  0.253  0.629
Dy  0.624  0.747  0.371
Dy  0.750  0.250  0.500
Dy  0.876  0.247  0.124
Tm  0.122  0.416  0.538
Tm  0.378  0.916  0.294
Tm  0.622  0.084  0.706
Tm  0.878  0.584  0.462

***

Which structure is the least stable? The one labeled <ii>.